Density functional theory data (GGA-PBE) for an optimized crystal structure of La4Al2Ag.

Calculated values
**Calculated total energy**: -31.47 eV per cell
**Formation enthalpy at 0 K**: -1.4 eV per formula unit
**Space-group type**: R-3m

Lattice parameters (Å, degrees): 5.3679 5.3679 9.1423 72.93 72.93 60.00
Sites, in units of the cell vectors:
La 0.1284 0.1284 0.6147
La 0.3804 0.3804 0.8587
La 0.8716 0.8716 0.3853
La 0.6196 0.6196 0.1413
Ag 0.0000 0.0000 0.0000
Al 0.2520 0.2520 0.2440
Al 0.7480 0.7480 0.7560

=====

Density functional theory data (GGA-PBE) for an optimized crystal structure of Ni2PCl.

Calculated values
**Calculated total energy**: -15.74 eV per cell
**Offset from the most stable computed form**: 1090 meV per atom
**Raw formation energy**: 74 kJ/mol of atoms
**Space-group type**: F-43m

Lattice parameters (Å, degrees): 4.2782 4.2782 4.2782 60.00 60.00 60.00
Sites, in units of the cell vectors:
Ni 0.0000 0.0000 0.0000
Ni 0.2500 0.2500 0.2500
Cl 0.5000 0.5000 0.5000
P 0.7500 0.7500 0.7500

=====

Density functional theory data (GGA-PBE) for an optimized crystal structure of V2RhI.

Calculated values
**Calculated total energy**: -25.18 eV per cell
**Offset from the most stable computed form**: 0 meV per atom
**Raw formation energy**: 47 kJ/mol of atoms
**Space-group type**: Fm-3m

Lattice parameters (Å, degrees): 4.4642 4.4642 4.4642 60.00 60.00 60.00
Sites, in units of the cell vectors:
I 0.5000 0.5000 0.5000
V 0.7500 0.7500 0.7500
V 0.2500 0.2500 0.2500
Rh 0.0000 0.0000 0.0000

=====

Density functional theory data (GGA-PBE) for an optimized crystal structure of NaAlFeCl2.

Calculated values
**Calculated total energy**: -15.63 eV per cell
**Raw formation energy**: 31 kJ/mol of atoms
**Space-group type**: P4/mmm

Lattice parameters (Å, degrees): 4.8770 7.0572 4.8770 90.00 90.00 90.00
Each line ends with the local moment (μB).
Sites, in units of the cell vectors:
Cl 0.5000 0.0000 0.0000  0.01
Cl 0.0000 0.0000 0.5000  0.01
Al 0.0000 0.0000 0.0000  0.01
Na 0.0000 0.5000 0.0000  -0.01
Fe 0.5000 0.5000 0.5000  3.34

=====

Density functional theory data (GGA-PBE) for an optimized crystal structure of Rb5GeTe4.

Calculated values
**Calculated total energy**: -59.28 eV per cell
**Raw formation energy**: -73 kJ/mol of atoms
**Space-group type**: Pmmn

Lattice parameters (Å, degrees): 8.7026 11.3079 10.6809 90.00 90.00 90.00
Sites, in units of the cell vectors:
Rb 0.2635 0.3038 0.7398
Rb 0.7365 0.1962 0.7602
Rb 0.2635 0.3038 0.2602
Rb 0.7365 0.8038 0.2398
Rb 0.2635 0.6962 0.2602
Rb 0.1458 0.0000 0.5000
Rb 0.7365 0.1962 0.2398
Rb 0.2635 0.6962 0.7398
Rb 0.7365 0.8038 0.7602
Rb 0.8542 0.5000 0.0000
Te 0.3946 0.0000 0.7812
Te 0.0351 0.7958 0.0000
Te 0.9649 0.7042 0.5000
Te 0.6054 0.5000 0.7188
Te 0.0351 0.2042 0.0000
Te 0.9649 0.2958 0.5000
Te 0.6054 0.5000 0.2812
Te 0.3946 0.0000 0.2188
Ge 0.2175 0.0000 0.0000
Ge 0.7825 0.5000 0.5000

=====

Density functional theory data (GGA-PBE) for an optimized crystal structure of K2ReIr.

Calculated values
**Calculated total energy**: -19.01 eV per cell
**Offset from the most stable computed form**: 562 meV per atom
**Formation enthalpy at 0 K**: 4.5 eV per formula unit
**Space-group type**: Cmmm

Lattice parameters (Å, degrees): 2.7795 2.7795 11.6333 90.00 90.00 62.09
Sites, in units of the cell vectors:
Re 0.5000 0.5000 0.2500
Ir 0.5000 0.5000 0.7500
K 0.0000 0.0000 0.9901
K 0.0000 0.0000 0.5099

=====

Question: Look up the calculated total energy of the second one.
Answer: -15.74 eV per cell